Below is Re3SiP at its PBEsol-relaxed geometry, with properties calculated at the SCAN level.

Computed properties:
- Space group: Pm-3m (221)
- E_form (uncorrected): 1.756 eV per atom
- Total moment: 2.372 μB/cell
- E_tot: -44.985 eV per atom

extended XYZ file:
```
5
Lattice="-0.7242 0.6959 4.2748 0.0780 -4.3314 0.7183 4.3304 0.1944 0.7020" Properties=species:S:1:pos:R:3 pbc="T T T"
P 1.8421 -1.7205 2.8476
Si 0.0000 0.0000 0.0000
Re 0.0390 -2.1657 0.3592
Re 2.1652 0.0972 0.3510
Re -0.3621 0.3480 2.1374
```



Below is AlSi4HO10 at its PBEsol-relaxed geometry, with properties calculated at the SCAN level.

Computed properties:
- Space group: P1 (1)
- Total moment: 0.000 μB/cell
- E_tot: -9.988 eV per atom

extended XYZ file:
```
16
Lattice="-1.1424 -3.6194 3.1699 1.5755 -4.0152 -4.0322 5.8313 2.4336 4.1416" Properties=species:S:1:pos:R:3 pbc="T T T"
Si 2.6792 -5.1058 -1.0485
Si 1.9249 -0.4529 0.0753
Si 5.1425 -4.0452 0.5647
Si 3.8552 -4.6131 3.2283
O 1.5751 -1.2590 1.4244
O -0.2008 -4.7543 2.0735
O 5.3167 -0.5190 1.5444
O 0.3913 -2.5102 3.3724
O 4.8339 -3.8784 2.1481
O 2.4376 -0.9529 3.8995
O 5.2241 -2.5974 -0.1506
O 5.0453 -0.7338 4.4076
O 2.3173 -4.2684 2.8040
O 1.6782 -3.8854 -0.8450
Al 6.1563 -0.4323 3.0352
H 5.3708 -1.6450 5.3705
```



Below is Na2TmPCO7 at its PBEsol-relaxed geometry, with properties calculated at the SCAN level.

Computed properties:
- Space group: P2_1/m (11)
- E_form (uncorrected): -2.593 eV per atom
- Total moment: 0.000 μB/cell
- E_tot: -12.958 eV per atom

extended XYZ file:
```
24
Lattice="5.0918 0.0000 0.0100 0.0000 6.8757 0.0000 -0.1438 0.0000 9.2789" Properties=species:S:1:pos:R:3 pbc="T T T"
Tm 1.0088 5.1568 5.8370
Tm 3.9392 1.7189 3.4520
Na 1.2114 6.8159 1.9739
Na 3.7365 3.3780 7.3150
Na 3.7365 0.0598 7.3150
Na 1.2114 3.4977 1.9739
O 1.4743 5.1568 0.4832
O 3.0082 1.7189 5.4807
O 1.9397 5.1568 3.8082
O 4.9171 1.7189 1.3797
O 0.0308 5.1568 7.9092
O 0.8852 0.4515 6.0630
O 2.7274 1.7189 1.6045
O 4.0628 6.4243 3.2259
O 3.8753 5.1568 5.4094
O 0.8852 2.9864 6.0630
O 2.2205 5.1568 7.6844
O 3.4736 1.7189 8.8058
O 1.0726 1.7189 3.8795
O 4.0628 3.8893 3.2259
C 3.7567 1.7189 0.7748
C 1.1912 5.1568 8.5142
P 1.4520 1.7189 5.4004
P 3.4959 5.1568 3.8885
```



Below is Y2ZrP at its PBEsol-relaxed geometry, with properties calculated at the SCAN level.

Computed properties:
- Energy of formation from the pure elements: -1.1 eV/f.u.
- Space group: I4/mmm (139)
- Total moment: 0.000 μB/cell
- E_tot: -24.459 eV per atom

extended XYZ file:
```
4
Lattice="-0.1368 -0.6756 -4.1953 -3.9136 -1.6154 0.3878 0.1773 5.4696 1.2677" Properties=species:S:1:pos:R:3 pbc="T T T"
P 0.0000 0.0000 0.0000
Y -0.9924 1.8242 -2.4157
Y -2.8807 1.3543 -0.1241
Zr -2.0252 -1.1455 -1.9038
```



Below is Ni2MoOs at its PBEsol-relaxed geometry, with properties calculated at the SCAN level.

Computed properties:
- Energy of formation from the pure elements: 0.0 eV/f.u.
- Space group: I-4m2 (119)
- Energy above the most stable polymorph in this dataset: 0 meV/atom
- Total moment: 0.000 μB/cell
- E_tot: -34.784 eV per atom

extended XYZ file:
```
4
Lattice="3.6926 0.0000 0.0000 0.0000 3.6926 0.0000 -1.8463 -1.8463 3.6759" Properties=species:S:1:pos:R:3 pbc="T T T"
Ni 0.0000 1.8463 1.8379
Ni 0.0000 0.0000 0.0000
Os 1.8463 1.8463 0.0000
Mo 1.8463 0.0000 1.8379
```



Below is Te2PtSeN at its PBEsol-relaxed geometry, with properties calculated at the SCAN level.

Computed properties:
- Space group: P4/mmm (123)
- E_form (uncorrected): 1.159 eV per atom
- Total moment: 0.001 μB/cell
- E_tot: -33.654 eV per atom

extended XYZ file:
```
5
Lattice="3.5237 0.0000 0.0000 0.0000 5.3888 0.0000 0.0000 0.0000 5.3888" Properties=species:S:1:pos:R:3 pbc="T T T"
Te 0.0000 0.0000 2.6944
Te 0.0000 2.6944 0.0000
Se 0.0000 0.0000 0.0000
Pt 1.7618 2.6944 2.6944
N 1.7618 0.0000 0.0000
```



Below is KMgS2N at its PBEsol-relaxed geometry, with properties calculated at the SCAN level.

Computed properties:
- Space group: P4/mmm (123)
- E_form (uncorrected): -0.018 eV per atom
- Total moment: 3.942 μB/cell
- E_tot: -8.388 eV per atom

extended XYZ file:
```
5
Lattice="-2.7619 -3.3995 0.2660 -0.1011 -0.3012 -4.9006 3.8148 -3.0906 0.1112" Properties=species:S:1:pos:R:3 pbc="T T T"
S 1.9074 -1.5453 0.0556
S -0.0506 -0.1506 -2.4503
N -1.3809 -1.6997 0.1330
K 0.4759 -3.3957 -2.2617
Mg 0.0000 0.0000 0.0000
```



Below is RbTi3Co at its PBEsol-relaxed geometry, with properties calculated at the SCAN level.

Computed properties:
- Energy of formation from the pure elements: 3.9 eV/f.u.
- Space group: Pm-3m (221)
- Total moment: 0.012 μB/cell
- E_tot: -16.439 eV per atom

extended XYZ file:
```
5
Lattice="-1.6326 3.1861 -3.0143 -4.1967 -0.1997 2.0619 1.2751 3.4222 2.9267" Properties=species:S:1:pos:R:3 pbc="T T T"
Ti -0.8163 1.5931 -1.5072
Ti -2.0983 -0.0999 1.0309
Ti 0.6375 1.7111 1.4633
Rb -2.2771 3.2043 0.9871
Co 0.0000 0.0000 0.0000
```



Below is B3IrF at its PBEsol-relaxed geometry, with properties calculated at the SCAN level.

Computed properties:
- Space group: Pm-3m (221)
- E_form (uncorrected): 0.314 eV per atom
- Total moment: 0.000 μB/cell
- E_tot: -19.071 eV per atom

extended XYZ file:
```
5
Lattice="-2.5985 -0.8465 2.9754 1.0902 -3.8871 -0.1538 2.8950 0.7039 2.7285" Properties=species:S:1:pos:R:3 pbc="T T T"
B 0.5451 -1.9435 -0.0769
B 1.4475 0.3520 1.3643
B -1.2992 -0.4233 1.4877
F 0.6934 -2.0148 2.7750
Ir 0.0000 0.0000 0.0000
```



Below is Li7Hg at its PBEsol-relaxed geometry, with properties calculated at the SCAN level.

Computed properties:
- Energy of formation from the pure elements: -1.4 eV/f.u.
- Space group: Fm-3m (225)
- Total moment: 0.313 μB/cell
- E_tot: -10.791 eV per atom

extended XYZ file:
```
8
Lattice="-5.0632 -2.5934 1.4091 -1.5274 -5.0387 -2.5741 0.0192 -4.9869 3.0786" Properties=species:S:1:pos:R:3 pbc="T T T"
Li 0.0096 -2.4935 1.5393
Li -2.5316 -1.2967 0.7046
Li -0.7541 -5.0128 0.2523
Li -3.2857 -6.3095 0.9568
Li -2.5220 -3.7902 2.2439
Li -3.2953 -3.8161 -0.5825
Li -0.7637 -2.5194 -1.2870
Hg 0.0000 0.0000 0.0000
```



Below is Zn4Ni5 at its PBEsol-relaxed geometry, with properties calculated at the SCAN level.

Computed properties:
- Energy of formation from the pure elements: -1.2 eV/f.u.
- Space group: I4/mmm (139)
- Energy above the most stable polymorph in this dataset: 0 meV/atom
- Total moment: 0.003 μB/cell
- E_tot: -15.124 eV per atom

extended XYZ file:
```
9
Lattice="-1.9643 2.8650 -1.0921 -5.1708 -1.7550 -1.3741 -2.5896 2.2421 4.4690" Properties=species:S:1:pos:R:3 pbc="T T T"
Ni 0.0000 0.0000 0.0000
Ni -4.7728 0.7278 -1.6473
Ni -3.0421 3.4078 2.2705
Ni -1.5118 1.6993 1.1064
Ni -2.3623 0.3822 -0.8189
Zn -4.3502 -0.4843 0.4835
Zn -5.9178 1.2430 1.7638
Zn -3.4102 0.9714 2.6114
Zn -3.8070 2.1090 0.2390
```



Below is TcIr2S2 at its PBEsol-relaxed geometry, with properties calculated at the SCAN level.

Computed properties:
- Space group: I4/mmm (139)
- E_form (uncorrected): 0.810 eV per atom
- Total moment: 3.100 μB/cell
- E_tot: -38.493 eV per atom

extended XYZ file:
```
5
Lattice="-3.0346 0.8478 2.2178 2.0839 -0.7739 3.1472 2.0028 4.9002 -2.4799" Properties=species:S:1:pos:R:3 pbc="T T T"
Tc 0.0000 0.0000 0.0000
Ir -0.7536 2.8925 1.2102
Ir 1.8057 2.0817 1.6749
S -0.1141 1.2048 2.7304
S 1.1661 3.7693 0.1547
```



Let's list calculated density in order: 12.11, 2.46, 3.78, 5.81, 13.37, 8.82, 2.22, 4.67, 6.14, 2.91, 8.92, 11.82 g/cm³.